Record 1
This record from the Alexandria database describes crystalline La2Ho3Ru2 at its relaxed geometry. The functional is GGA-PBE.

Structure (POSCAR):
```
La2Ho3Ru2
1.0
-2.141 3.197 0.493
0.821 -0.831 -6.303
-5.576 -6.345 1.672
La Ho Ru
2 3 2
Cartesian
-5.412 -3.426 -1.282 La
-1.484 -0.553 -2.857 La
-1.070 1.599 0.247 Ho
-2.989 -3.717 -4.131 Ho
-3.907 -0.261 -0.008 Ho
-0.713 -2.047 -5.081 Ru
-6.183 -1.932 0.942 Ru
```

Properties
Energy = -6.339 eV per atom
Space group = C2/m, No. 12
DOS(E_F) = 4.71 states/eV/cell
V = 191.7 Å³/cell
Magnetic moment = 0.00 μB/cell

---

Record 2
This record from the Alexandria database describes crystalline Mg2Se3 at its relaxed geometry. The functional is GGA-PBE.

Structure (POSCAR):
```
Mg2Se3
1.0
-6.940 -0.842 3.277
-3.185 2.903 6.164
-4.020 4.286 -1.386
Mg Se
4 6
Cartesian
-5.558 3.318 5.630 Mg
-8.612 3.790 2.567 Mg
-8.499 5.122 6.587 Mg
-12.744 5.159 5.638 Mg
-8.450 2.890 5.098 Se
-5.693 3.383 2.944 Se
-10.407 5.052 4.310 Se
-10.809 4.395 7.759 Se
-7.183 6.502 4.649 Se
-3.514 0.900 1.885 Se
```

Properties
Energy relative to the elements, uncorrected = -0.681 eV/atom
Energy = -3.410 eV per atom
Space group = Fdd2, No. 43
DOS(E_F) = 7.89 states/eV/cell
V = 229.4 Å³/cell
Magnetic moment = 0.00 μB/cell

---

Record 3
This record from the Alexandria database describes crystalline Tb8SmEr2 at its relaxed geometry. The functional is GGA-PBE.

Structure (POSCAR):
```
Tb8SmEr2
1.0
5.289 0.000 -1.606
-0.997 7.381 -3.283
-0.058 -0.350 9.320
Tb Sm Er
8 1 2
Cartesian
2.519 6.135 -1.217 Tb
1.305 3.936 4.297 Tb
0.683 1.092 2.249 Tb
-0.294 2.179 -0.969 Tb
3.551 5.939 2.183 Tb
2.929 3.095 0.135 Tb
1.715 0.896 5.649 Tb
4.528 4.852 5.401 Tb
2.644 0.000 -0.803 Sm
0.337 5.026 1.108 Er
3.898 2.005 3.324 Er
```

Properties
Energy = -4.512 eV per atom
Space group = Immm, No. 71
DOS(E_F) = 16.08 states/eV/cell
V = 356.5 Å³/cell
Energy above the most stable polymorph in this dataset = 0.00 eV/f.u.
Magnetic moment = 0.00 μB/cell

---

Record 4
This record from the Alexandria database describes crystalline HgSbOs at its relaxed geometry. The functional is GGA-PBE.

Structure (POSCAR):
```
HgSbOs
1.0
-3.432 -0.482 -6.091
-5.557 -2.980 -3.056
3.239 3.490 5.141
Hg Os Sb
1 1 1
Cartesian
-8.703 -3.352 -8.855 Hg
-2.923 -1.126 -2.974 Os
-6.353 -2.447 -6.464 Sb
```

Properties
Energy relative to the elements, uncorrected = 0.501 eV/atom
Energy = -4.716 eV per atom
Space group = I4mm, No. 107
DOS(E_F) = 2.06 states/eV/cell
V = 66.3 Å³/cell
Energy above the most stable polymorph in this dataset = 0.00 eV/f.u.
Magnetic moment = 0.00 μB/cell

---

Record 5
This record from the Alexandria database describes crystalline Ca2PrTcN4 at its relaxed geometry. The functional is GGA-PBE.

Structure (POSCAR):
```
Ca2PrTcN4
1.0
-3.262 -1.103 0.077
2.283 -0.976 5.694
-3.658 11.047 3.359
Ca Pr Tc N
4 2 2 8
Cartesian
-1.475 4.784 6.096 Ca
-1.602 -0.531 1.601 Ca
-3.162 4.184 3.034 Ca
-3.036 9.498 7.530 Ca
-2.646 8.057 3.376 Pr
-1.991 0.911 5.754 Pr
-3.959 6.759 6.215 Tc
-0.679 2.209 2.915 Tc
-0.124 0.611 3.527 N
-3.635 5.703 4.796 N
-4.514 8.356 5.603 N
-1.003 3.265 4.334 N
-1.829 5.524 1.680 N
0.000 0.000 0.000 N
-2.202 7.016 7.284 N
-2.436 1.952 1.846 N
```

Properties
Energy relative to the elements, uncorrected = -0.705 eV/atom
Energy = -7.262 eV per atom
Space group = Cmcm, No. 63
DOS(E_F) = 4.26 states/eV/cell
V = 249.0 Å³/cell
Magnetic moment = 0.00 μB/cell

---

Record 6
This record from the Alexandria database describes crystalline Dy2MnPd9 at its relaxed geometry. The functional is GGA-PBE.

Structure (POSCAR):
```
Dy2MnPd9
1.0
-1.462 2.548 2.821
0.757 -2.767 2.892
11.055 4.637 1.542
Dy Mn Pd
2 1 9
Cartesian
3.614 1.516 0.504 Dy
7.442 3.121 1.038 Dy
0.000 0.000 0.000 Mn
-0.353 -0.109 2.856 Pd
3.273 1.412 3.362 Pd
7.077 3.007 3.893 Pd
0.979 1.992 1.649 Pd
4.796 3.593 2.182 Pd
8.614 5.193 2.714 Pd
2.089 -0.666 1.685 Pd
5.906 0.935 2.217 Pd
9.723 2.536 2.750 Pd
```

Properties
Energy = -6.067 eV per atom
Space group = P4/mmm, No. 123
DOS(E_F) = 11.37 states/eV/cell
V = 200.5 Å³/cell
Magnetic moment = 4.17 μB/cell

---

What did the fourth record say?
This record from the Alexandria database describes crystalline HgSbOs at its relaxed geometry. The functional is GGA-PBE.

Structure (POSCAR):
```
HgSbOs
1.0
-3.432 -0.482 -6.091
-5.557 -2.980 -3.056
3.239 3.490 5.141
Hg Os Sb
1 1 1
Cartesian
-8.703 -3.352 -8.855 Hg
-2.923 -1.126 -2.974 Os
-6.353 -2.447 -6.464 Sb
```

Properties
Energy relative to the elements, uncorrected = 0.501 eV/atom
Energy = -4.716 eV per atom
Space group = I4mm, No. 107
DOS(E_F) = 2.06 states/eV/cell
V = 66.3 Å³/cell
Energy above the most stable polymorph in this dataset = 0.00 eV/f.u.
Magnetic moment = 0.00 μB/cell